The following is a PBE calculation of a relaxed Tl2BiRh crystal, from Alexandria.

Properties
As for the symmetry: Fm-3m. Its formation energy is 1.52 eV per formula unit.

```
Tl2BiRh
1.0
0.000 3.654 3.654
3.654 0.000 3.654
3.654 3.654 0.000
Tl Rh Bi
2 1 1
direct
0.250 0.250 0.250
0.750 0.750 0.750
0.000 0.000 0.000
0.500 0.500 0.500
```